16
Lattice="7.998 0.000 0.000 0.000 7.998 0.000 0.000 0.000 4.709" Properties=species:S:1:pos:R:3 comment="Hf2ZrC, relaxed, DFT PBE" spacegroup="I-42d, No. 122" formation_enthalpy_0k_ev_per_fu=0.28 pbc="T T T"
Hf 1.004 2.000 0.589
Hf 2.000 5.003 1.766
Hf 2.000 6.994 4.121
Hf 2.995 2.000 2.943
Hf 5.003 5.999 2.943
Hf 5.999 1.004 4.121
Hf 5.999 2.995 1.766
Hf 6.994 5.999 0.589
Zr 0.000 0.000 2.355
Zr 0.000 3.999 3.532
Zr 3.999 0.000 1.177
Zr 3.999 3.999 0.000
C 0.000 0.000 0.000
C 0.000 3.999 1.177
C 3.999 0.000 3.532
C 3.999 3.999 2.355

=====

12
Lattice="4.188 -7.257 0.000 4.188 7.257 0.000 -2.798 0.000 8.576" Properties=species:S:1:pos:R:3 comment="Ba6Ag2PI3, relaxed, DFT PBE" raw_formation_energy_ev_per_atom=-0.97 spacegroup="C2/m, No. 12" pbc="T T T"
Ba 1.317 2.281 1.798
Ba -0.167 0.000 6.752
Ba 1.317 -2.281 1.798
Ba 4.262 2.281 6.778
Ba 5.746 0.000 1.824
Ba 4.262 -2.281 6.778
Ag 4.188 2.409 0.000
Ag 4.188 -2.409 0.000
P 0.000 0.000 0.000
I 2.789 4.809 4.288
I 2.789 0.000 4.288
I 2.789 -4.809 4.288

=====

| no. | total magnetic moment (μB/cell) |
| --- | --- |
| 1 | 0.0 |
| 2 | 1.6 |